1.
SCAN Sc3MoRh, single point on PBEsol structure; DOS at the Fermi energy = 0.86 states/eV per atom; calculated formation energy = 0.24 eV per atom; space-group type = Pm-3m, No. 221
1.0
4.848 0.000 0.000
0.000 4.848 0.000
0.000 0.000 4.848
Sc Mo Rh
3 1 1
Direct
0.000 0.000 0.500
0.000 0.500 0.000
0.500 0.000 0.000
0.500 0.500 0.500
0.000 0.000 0.000

2.
SCAN MoRhSe, single point on PBEsol structure; uncorrected formation energy = 0.4202 eV per atom; DOS at the Fermi energy = 0.99 states/eV per atom; space-group type = F-43m, No. 216
1.0
0.000 2.965 2.965
2.965 0.000 2.965
2.965 2.965 0.000
Mo Rh Se
1 1 1
Direct
0.000 0.000 0.000
0.250 0.250 0.250
0.500 0.500 0.500

3.
SCAN Mo4RhSe, single point on PBEsol structure; uncorrected formation energy = 0.6426 eV per atom; DOS at the Fermi energy = 0.71 states/eV per atom; space-group type = F-43m, No. 216
1.0
0.000 3.638 3.638
3.638 0.000 3.638
3.638 3.638 0.000
Mo Rh Se
4 1 1
Direct
0.125 0.125 0.125
0.125 0.125 0.624
0.125 0.624 0.125
0.624 0.125 0.125
0.500 0.500 0.500
0.750 0.750 0.750

4.
SCAN SiMoRh2, single point on PBEsol structure; uncorrected formation energy = -0.3195 eV per atom; DOS at the Fermi energy = 0.61 states/eV per atom; space-group type = I-4m2, No. 119
1.0
-1.900 1.900 3.758
1.900 -1.900 3.758
1.900 1.900 -3.758
Si Mo Rh
1 1 2
Direct
0.000 0.000 0.000
0.750 0.250 0.500
0.250 0.750 0.500
0.500 0.500 0.000

5.
SCAN Si4MoRh, single point on PBEsol structure; uncorrected formation energy = 0.3695 eV per atom; DOS at the Fermi energy = 0.40 states/eV per atom; space-group type = F-43m, No. 216
1.0
0.000 3.391 3.391
3.391 0.000 3.391
3.391 3.391 0.000
Si Mo Rh
4 1 1
Direct
0.125 0.125 0.125
0.125 0.125 0.626
0.125 0.626 0.125
0.626 0.125 0.125
0.500 0.500 0.500
0.750 0.750 0.750

6.
SCAN SiMoRh2, single point on PBEsol structure; uncorrected formation energy = -0.4544 eV per atom; DOS at the Fermi energy = 0.72 states/eV per atom; space-group type = P4mm, No. 99
1.0
2.826 0.000 0.000
0.000 2.826 0.000
0.000 0.000 6.777
Si Mo Rh
1 1 2
Direct
0.000 0.000 0.000
0.500 0.500 0.254
0.000 0.000 0.505
0.500 0.500 0.804

7.
SCAN SiMoRh2, single point on PBEsol structure; uncorrected formation energy = -0.4563 eV per atom; DOS at the Fermi energy = 0.46 states/eV per atom; space-group type = Imm2, No. 44
1.0
-1.414 2.174 4.429
1.414 -2.174 4.429
1.414 2.174 -4.429
Si Mo Rh
1 1 2
Direct
0.000 0.000 0.000
0.232 0.732 0.500
0.503 0.503 0.000
0.791 0.291 0.500

8.
SCAN SiMoRh2, single point on PBEsol structure; uncorrected formation energy = -0.2567 eV per atom; DOS at the Fermi energy = 0.78 states/eV per atom; space-group type = F-43m, No. 216
1.0
0.000 3.008 3.008
3.008 0.000 3.008
3.008 3.008 0.000
Si Mo Rh
1 1 2
Direct
0.000 0.000 0.000
0.250 0.250 0.250
0.500 0.500 0.500
0.750 0.750 0.750